Computed, not measured: an optimized crystal structure of Li3FeSi6O15 at the PBE with a Hubbard U level of DFT.

**Volume**: 1261 Å³/cell
**Excess energy over the best structure of this formula in the dataset**: 0.0 meV per atom
**Total magnetization**: 4.89 μB/f.u.
**Final energy**: -181.989 eV per formula unit

a b c (Å): 10.001 11.297 11.297
angles (deg): 98.87 90.00 90.00
Last column: magnetic moment on the atom in μB.
Atoms (fractional coordinates):
Li  0.000  0.248  0.248  0.00
Li  0.250  0.005  0.495  0.00
Li  0.750  0.495  0.005  0.00
Li  0.500  0.252  0.252  0.00
Li  0.244  0.583  0.417  0.00
Li  0.756  0.417  0.583  0.00
Li  0.744  0.917  0.083  0.00
Li  0.256  0.083  0.917  0.00
Li  0.500  0.748  0.748  0.00
Li  0.750  0.995  0.505  0.00
Li  0.250  0.505  0.995  0.00
Li  0.000  0.752  0.752  0.00
Fe  0.250  0.338  0.162  4.41
Fe  0.750  0.162  0.338  4.41
Fe  0.750  0.662  0.838  4.41
Fe  0.250  0.838  0.662  4.41
Si  0.192  0.041  0.172  0.01
Si  0.808  0.172  0.041  0.01
Si  0.692  0.459  0.328  0.01
Si  0.308  0.328  0.459  0.01
Si  0.508  0.024  0.765  0.01
Si  0.492  0.765  0.024  0.01
Si  0.992  0.524  0.265  0.01
Si  0.008  0.265  0.524  0.01
Si  0.052  0.084  0.707  0.01
Si  0.448  0.584  0.207  0.01
Si  0.948  0.707  0.084  0.01
Si  0.552  0.207  0.584  0.01
Si  0.448  0.793  0.416  0.01
Si  0.052  0.293  0.916  0.01
Si  0.948  0.916  0.293  0.01
Si  0.552  0.416  0.793  0.01
Si  0.008  0.476  0.735  0.01
Si  0.492  0.976  0.235  0.01
Si  0.508  0.235  0.976  0.01
Si  0.992  0.735  0.476  0.01
Si  0.692  0.672  0.541  0.01
Si  0.308  0.541  0.672  0.01
Si  0.192  0.828  0.959  0.01
Si  0.808  0.959  0.828  0.01
O  0.077  0.988  0.252  0.00
O  0.923  0.252  0.988  0.00
O  0.333  0.012  0.237  0.00
O  0.667  0.237  0.012  0.00
O  0.162  0.178  0.164  0.05
O  0.838  0.164  0.178  0.05
O  0.417  0.256  0.093  0.05
O  0.583  0.093  0.256  0.05
O  0.172  0.003  0.648  0.06
O  0.328  0.503  0.148  0.06
O  0.828  0.648  0.003  0.06
O  0.672  0.148  0.503  0.06
O  0.083  0.407  0.244  0.05
O  0.917  0.244  0.407  0.05
O  0.662  0.322  0.336  0.05
O  0.338  0.336  0.322  0.05
O  0.167  0.263  0.488  0.00
O  0.833  0.488  0.263  0.00
O  0.577  0.512  0.248  0.00
O  0.423  0.248  0.512  0.00
O  0.511  0.665  0.113  0.00
O  0.011  0.613  0.165  0.00
O  0.489  0.113  0.665  0.00
O  0.989  0.165  0.613  0.00
O  0.964  0.396  0.604  0.00
O  0.389  0.670  0.330  0.00
O  0.805  0.032  0.968  0.00
O  0.305  0.468  0.532  0.00
O  0.195  0.968  0.032  0.00
O  0.536  0.896  0.104  0.00
O  0.464  0.104  0.896  0.00
O  0.889  0.830  0.170  0.00
O  0.695  0.532  0.468  0.00
O  0.036  0.604  0.396  0.00
O  0.111  0.170  0.830  0.00
O  0.611  0.330  0.670  0.00
O  0.489  0.335  0.887  0.00
O  0.511  0.887  0.335  0.00
O  0.011  0.835  0.387  0.00
O  0.989  0.387  0.835  0.00
O  0.423  0.488  0.752  0.00
O  0.577  0.752  0.488  0.00
O  0.833  0.737  0.512  0.00
O  0.167  0.512  0.737  0.00
O  0.338  0.678  0.664  0.05
O  0.662  0.664  0.678  0.05
O  0.917  0.593  0.756  0.05
O  0.083  0.756  0.593  0.05
O  0.172  0.352  0.997  0.06
O  0.828  0.997  0.352  0.06
O  0.328  0.852  0.497  0.06
O  0.672  0.497  0.852  0.06
O  0.417  0.907  0.744  0.05
O  0.583  0.744  0.907  0.05
O  0.162  0.836  0.822  0.05
O  0.838  0.822  0.836  0.05
O  0.333  0.763  0.988  0.00
O  0.667  0.988  0.763  0.00
O  0.923  0.012  0.748  0.00
O  0.077  0.748  0.012  0.00